UTl2S2Br2: optimized geometry, PBE.

It has space group I4/mmm (No. 139), with a = 5.292 Å, b = 5.292 Å, c = 17.022 Å, α = 90.00°, β = 90.00° and γ = 90.00°. The inequivalent atoms are U at (0.000, 0.000, 0.000), Tl at (0.000, 0.000, 0.377), S at (0.000, 0.500, 0.000) and Br at (0.000, 0.000, 0.167).

UTl2S2Br4: optimized geometry, PBE.

It has space group C2/m (No. 12), with a = 12.875 Å, b = 7.551 Å, c = 7.724 Å, α = 90.00°, β = 124.64° and γ = 90.00°. The inequivalent atoms are U at (0.000, 0.000, 0.000), Tl at (0.238, 0.000, 0.746), S at (0.218, 0.000, 0.134) and Br at (0.044, 0.253, 0.293).

TlWS2Br: optimized geometry, PBE.

It has space group P4/mmm (No. 123), with a = 4.690 Å, b = 4.690 Å, c = 5.553 Å, α = 90.00°, β = 90.00° and γ = 90.00°. The inequivalent atoms are Tl at (0.000, 0.000, 0.000), W at (0.500, 0.500, 0.500), S at (0.000, 0.500, 0.500) and Br at (0.500, 0.500, 0.000).

Tl2WS2Br4: optimized geometry, PBE.

It has space group C2/m (No. 12), with a = 12.548 Å, b = 7.242 Å, c = 7.469 Å, α = 90.00°, β = 125.18° and γ = 90.00°. The inequivalent atoms are Tl at (0.247, 0.000, 0.214), W at (0.000, 0.000, 0.500), S at (0.215, 0.000, 0.775) and Br at (0.039, 0.249, 0.298).

Number 1: magnetization 4.00 Bohr magnetons per cell, formation energy from raw total energies -1.013 eV/atom. Number 2: magnetization 0.00 Bohr magnetons per cell, formation energy from raw total energies -0.942 eV/atom. Number 3: magnetization 0.06 Bohr magnetons per cell, formation energy from raw total energies -0.216 eV/atom. Number 4: magnetization 0.00 Bohr magnetons per cell, formation energy from raw total energies -0.476 eV/atom.